A plane-wave DFT calculation with PBE with a Hubbard U was carried out for a relaxed YCd2NiF crystal.

Results
V: 117 Å³/cell
Total moment: 0.0 μB/cell
E_tot: -2.821 eV/atom
Density of states at the Fermi level: 1.6 states/eV per cell

POSCAR file:
```
YCd2NiF
1.0
-0.9442 4.6949 0.9457
-2.2759 0.4188 -4.3514
-4.2255 -1.2703 2.0878
Ni Cd Y F
1 2 1 1
Cartesian
0.0000 0.0000 0.0000 Ni
-0.4721 2.3475 0.4729 Cd
-2.1128 -0.6352 1.0439 Cd
-1.1380 0.2094 -2.1757 Y
-3.7228 1.9217 -0.6589 F
```